Record 1
A relaxed La4Pm3YTe8 crystal. Source: Alexandria, functional PBE-GGA.

The space group is R-3m (No. 166, hexagonal axes) and the conventional cell measures 9.0346, 9.0346 and 22.0554 Å, with angles of 90.00, 90.00 and 120.00 degrees. The inequivalent atoms are La at (0.0000, 0.0000, 0.0000), La at (0.0000, 0.5000, 0.0000), Pm at (0.0000, 0.5000, 0.5000), Y at (0.0000, 0.0000, 0.5000), Te at (0.0000, 0.0000, 0.2476) and Te at (0.0042, 0.5021, 0.2465).

For the density of states at the Fermi level, the calculation gives 0.7950 states/eV per atom. The calculation puts the final energy at -89.39 eV/f.u.

Record 2
A relaxed LaPmYTe3 crystal. Source: Alexandria, functional PBE-GGA.

The space group is P2_1/m (No. 11) and the conventional cell measures 8.648, 4.403 and 10.901 Å, with angles of 90.00, 105.12 and 90.00 degrees. The inequivalent atoms are La at (0.191, 0.250, 0.219), Pm at (0.336, 0.750, 0.909), Y at (0.155, 0.250, 0.621), Te at (0.081, 0.250, 0.889), Te at (0.220, 0.750, 0.452) and Te at (0.484, 0.750, 0.210).

For the density of states at the Fermi level, the calculation gives 0.7670 states/eV per atom. The calculation puts the final energy at -33.49 eV/f.u.

Record 3
A relaxed La3PmY2Te6 crystal. Source: Alexandria, functional PBE-GGA.

The space group is C2/m (No. 12) and the conventional cell measures 19.576, 4.469 and 9.028 Å, with angles of 90.00, 103.57 and 90.00 degrees. The inequivalent atoms are La at (0.000, 0.000, 0.000), La at (0.164, 0.500, 0.333), Pm at (0.000, 0.000, 0.500), Y at (0.166, 0.500, 0.832), Te at (0.005, 0.500, 0.748), Te at (0.166, 0.000, 0.594) and Te at (0.171, 0.000, 0.075).

For the density of states at the Fermi level, the calculation gives 0.6240 states/eV per atom. The calculation puts the final energy at -69.00 eV/f.u.

Record 4
A relaxed La3Pm4YTe8 crystal. Source: Alexandria, functional PBE-GGA.

The space group is C2/m (No. 12) and the conventional cell measures 15.537, 9.024 and 8.973 Å, with angles of 90.00, 125.01 and 90.00 degrees. The inequivalent atoms are La at (0.000, 0.000, 0.000), La at (0.250, 0.250, 0.500), Pm at (0.000, 0.000, 0.500), Pm at (0.000, 0.500, 0.500), Pm at (0.250, 0.250, 0.000), Y at (0.000, 0.500, 0.000), Te at (0.002, 0.256, 0.753), Te at (0.247, 0.500, 0.242) and Te at (0.248, 0.500, 0.752).

For the density of states at the Fermi level, the calculation gives 0.7912 states/eV per atom. The calculation puts the final energy at -88.76 eV/f.u.

Record 5
A relaxed La3Pm2YTe6 crystal. Source: Alexandria, functional PBE-GGA.

The space group is C2/m (No. 12) and the conventional cell measures 19.619, 4.494 and 9.046 Å, with angles of 90.00, 103.16 and 90.00 degrees. The inequivalent atoms are La at (0.000, 0.000, 0.000), La at (0.169, 0.500, 0.333), Pm at (0.168, 0.500, 0.834), Y at (0.000, 0.000, 0.500), Te at (0.001, 0.500, 0.740), Te at (0.162, 0.000, 0.585) and Te at (0.168, 0.000, 0.079).

For the density of states at the Fermi level, the calculation gives 0.6255 states/eV per atom. The calculation puts the final energy at -67.48 eV/f.u.

Record 6
A relaxed LaPm2Y3Te6 crystal. Source: Alexandria, functional PBE-GGA.

The space group is C2/m (No. 12) and the conventional cell measures 19.380, 4.407 and 8.934 Å, with angles of 90.00, 104.07 and 90.00 degrees. The inequivalent atoms are La at (0.000, 0.000, 0.000), Pm at (0.168, 0.500, 0.335), Y at (0.000, 0.000, 0.500), Y at (0.165, 0.500, 0.832), Te at (0.001, 0.500, 0.740), Te at (0.165, 0.000, 0.588) and Te at (0.171, 0.000, 0.080).

For the density of states at the Fermi level, the calculation gives 0.5518 states/eV per atom. The calculation puts the final energy at -69.39 eV/f.u.

What did the second record say?
A relaxed LaPmYTe3 crystal. Source: Alexandria, functional PBE-GGA.

The space group is P2_1/m (No. 11) and the conventional cell measures 8.648, 4.403 and 10.901 Å, with angles of 90.00, 105.12 and 90.00 degrees. The inequivalent atoms are La at (0.191, 0.250, 0.219), Pm at (0.336, 0.750, 0.909), Y at (0.155, 0.250, 0.621), Te at (0.081, 0.250, 0.889), Te at (0.220, 0.750, 0.452) and Te at (0.484, 0.750, 0.210).

For the density of states at the Fermi level, the calculation gives 0.7670 states/eV per atom. The calculation puts the final energy at -33.49 eV/f.u.